one) # Y2AgF | the Alexandria database | GGA-PBE | optimized geometry
# Mass density ... 5494 kg/m³
data_Y2AgF
_cell_length_a 6.992
_cell_length_b 6.992
_cell_length_c 7.534
_cell_angle_alpha 90.00
_cell_angle_beta 90.00
_cell_angle_gamma 90.00
_space_group_name_H-M_alt 'I -4 2 d'
_space_group_IT_number 122
_space_group_name_Hall 'I -4 2bw'
loop_
_atom_site_label
_atom_site_type_symbol
_atom_site_fract_x
_atom_site_fract_y
_atom_site_fract_z
Y1 Y 0.179 0.250 0.125
Ag1 Ag 0.000 0.000 0.500
F1 F 0.000 0.000 0.000


two) # Y2AgF | the Alexandria database | GGA-PBE | optimized geometry
# Mass density ... 5658 kg/m³
data_Y2AgF
_cell_length_a 7.098
_cell_length_b 7.098
_cell_length_c 7.098
_cell_angle_alpha 90.00
_cell_angle_beta 90.00
_cell_angle_gamma 90.00
_space_group_name_H-M_alt 'F m -3 m'
_space_group_IT_number 225
_space_group_name_Hall '-F 4 2 3'
loop_
_atom_site_label
_atom_site_type_symbol
_atom_site_fract_x
_atom_site_fract_y
_atom_site_fract_z
Y1 Y 0.250 0.250 0.250
Ag1 Ag 0.000 0.000 0.000
F1 F 0.000 0.000 0.500


Ordering by calculated energy gives the sequence one), two), with the first entry being the most stable.


one) # YAg2F6 | the Alexandria database | GGA-PBE | optimized geometry
# Mass density ... 4702 kg/m³
data_YAg2F6
_cell_length_a 12.332
_cell_length_b 4.031
_cell_length_c 7.269
_cell_angle_alpha 90.00
_cell_angle_beta 125.07
_cell_angle_gamma 90.00
_space_group_name_H-M_alt 'C 1 2/m 1'
_space_group_IT_number 12
_space_group_name_Hall '-C 2y'
loop_
_atom_site_label
_atom_site_type_symbol
_atom_site_fract_x
_atom_site_fract_y
_atom_site_fract_z
Y1 Y 0.000 0.000 0.000
Ag1 Ag 0.176 0.000 0.631
F1 F 0.024 0.000 0.709
F2 F 0.113 0.500 0.038
F3 F 0.204 0.000 0.328


two) # YAg2F6 | the Alexandria database | GGA-PBE | optimized geometry
# Mass density ... 5311 kg/m³
data_YAg2F6
_cell_length_a 3.779
_cell_length_b 5.572
_cell_length_c 12.432
_cell_angle_alpha 90.00
_cell_angle_beta 90.00
_cell_angle_gamma 90.00
_space_group_name_H-M_alt 'I m m m'
_space_group_IT_number 71
_space_group_name_Hall '-I 2 2'
loop_
_atom_site_label
_atom_site_type_symbol
_atom_site_fract_x
_atom_site_fract_y
_atom_site_fract_z
Y1 Y 0.000 0.000 0.000
Ag1 Ag 0.000 0.000 0.332
F1 F 0.000 0.248 0.153
F2 F 0.000 0.274 0.500


Ordering by calculated energy gives the sequence two), one), with the first entry being the most stable.


one) # ZnAg3F | the Alexandria database | GGA-PBE | optimized geometry
# Mass density ... 5805 kg/m³
data_ZnAg3F
_cell_length_a 4.887
_cell_length_b 4.887
_cell_length_c 4.887
_cell_angle_alpha 90.00
_cell_angle_beta 90.00
_cell_angle_gamma 90.00
_space_group_name_H-M_alt 'P m -3 m'
_space_group_IT_number 221
_space_group_name_Hall '-P 4 2 3'
loop_
_atom_site_label
_atom_site_type_symbol
_atom_site_fract_x
_atom_site_fract_y
_atom_site_fract_z
Zn1 Zn 0.000 0.000 0.000
Ag1 Ag 0.000 0.000 0.500
F1 F 0.500 0.500 0.500


two) # ZnAg3F | the Alexandria database | GGA-PBE | optimized geometry
# Mass density ... 6918 kg/m³
data_ZnAg3F
_cell_length_a 4.609
_cell_length_b 4.609
_cell_length_c 4.609
_cell_angle_alpha 90.00
_cell_angle_beta 90.00
_cell_angle_gamma 90.00
_space_group_name_H-M_alt 'P m -3 m'
_space_group_IT_number 221
_space_group_name_Hall '-P 4 2 3'
loop_
_atom_site_label
_atom_site_type_symbol
_atom_site_fract_x
_atom_site_fract_y
_atom_site_fract_z
Zn1 Zn 0.000 0.000 0.000
Ag1 Ag 0.000 0.500 0.500
F1 F 0.500 0.500 0.500


Ordering by calculated energy gives the sequence two), one), with the first entry being the most stable.


one) # ZnAgF4 | the Alexandria database | GGA-PBE | optimized geometry
# Mass density ... 5121 kg/m³
data_ZnAgF4
_cell_length_a 11.712
_cell_length_b 5.471
_cell_length_c 5.728
_cell_angle_alpha 90.00
_cell_angle_beta 118.25
_cell_angle_gamma 90.00
_space_group_name_H-M_alt 'C 1 2/c 1'
_space_group_IT_number 15
_space_group_name_Hall '-C 2yc'
loop_
_atom_site_label
_atom_site_type_symbol
_atom_site_fract_x
_atom_site_fract_y
_atom_site_fract_z
Zn1 Zn 0.250 0.250 0.000
Ag1 Ag 0.000 0.250 0.250
F1 F 0.132 0.008 0.032
F2 F 0.134 0.499 0.038


two) # ZnAgF4 | the Alexandria database | GGA-PBE | optimized geometry
# Mass density ... 5107 kg/m³
data_ZnAgF4
_cell_length_a 5.853
_cell_length_b 5.031
_cell_length_c 5.730
_cell_angle_alpha 90.00
_cell_angle_beta 106.13
_cell_angle_gamma 90.00
_space_group_name_H-M_alt 'P 1 21/c 1'
_space_group_IT_number 14
_space_group_name_Hall '-P 2ybc'
loop_
_atom_site_label
_atom_site_type_symbol
_atom_site_fract_x
_atom_site_fract_y
_atom_site_fract_z
Zn1 Zn 0.000 0.000 0.000
Ag1 Ag 0.500 0.000 0.500
F1 F 0.124 0.249 0.289
F2 F 0.348 0.677 0.645


Ordering by calculated energy gives the sequence two), one), with the first entry being the most stable.


one) # ZnAgF2 | the Alexandria database | GGA-PBE | optimized geometry
# Mass density ... 5982 kg/m³
data_ZnAgF2
_cell_length_a 2.9783
_cell_length_b 2.9783
_cell_length_c 22.9027
_cell_angle_alpha 90.00
_cell_angle_beta 90.00
_cell_angle_gamma 120.00
_space_group_name_H-M_alt 'R -3 m'
_space_group_IT_number 166
_space_group_name_Hall '-R 3 2"'
loop_
_atom_site_label
_atom_site_type_symbol
_atom_site_fract_x
_atom_site_fract_y
_atom_site_fract_z
Zn1 Zn 0.0000 0.0000 0.0000
Ag1 Ag 0.0000 0.0000 0.5000
F1 F 0.0000 0.0000 0.3806


two) # ZnAgF2 | the Alexandria database | GGA-PBE | optimized geometry
# Mass density ... 5459 kg/m³
data_ZnAgF2
_cell_length_a 5.254
_cell_length_b 5.254
_cell_length_c 9.313
_cell_angle_alpha 90.00
_cell_angle_beta 90.00
_cell_angle_gamma 90.00
_space_group_name_H-M_alt 'I -4 2 d'
_space_group_IT_number 122
_space_group_name_Hall 'I -4 2bw'
loop_
_atom_site_label
_atom_site_type_symbol
_atom_site_fract_x
_atom_site_fract_y
_atom_site_fract_z
Zn1 Zn 0.000 0.000 0.000
Ag1 Ag 0.000 0.000 0.500
F1 F 0.162 0.250 0.125


Ordering by calculated energy gives the sequence one), two), with the first entry being the most stable.


one) # Zn2AgF | the Alexandria database | GGA-PBE | optimized geometry
# Mass density ... 6826 kg/m³
data_Zn2AgF
_cell_length_a 6.306
_cell_length_b 6.306
_cell_length_c 6.306
_cell_angle_alpha 90.00
_cell_angle_beta 90.00
_cell_angle_gamma 90.00
_space_group_name_H-M_alt 'F m -3 m'
_space_group_IT_number 225
_space_group_name_Hall '-F 4 2 3'
loop_
_atom_site_label
_atom_site_type_symbol
_atom_site_fract_x
_atom_site_fract_y
_atom_site_fract_z
Zn1 Zn 0.250 0.250 0.250
Ag1 Ag 0.000 0.000 0.000
F1 F 0.000 0.000 0.500


two) # Zn2AgF | the Alexandria database | GGA-PBE | optimized geometry
# Mass density ... 6668 kg/m³
data_Zn2AgF
_cell_length_a 6.428
_cell_length_b 6.428
_cell_length_c 6.213
_cell_angle_alpha 90.00
_cell_angle_beta 90.00
_cell_angle_gamma 90.00
_space_group_name_H-M_alt 'I -4 2 d'
_space_group_IT_number 122
_space_group_name_Hall 'I -4 2bw'
loop_
_atom_site_label
_atom_site_type_symbol
_atom_site_fract_x
_atom_site_fract_y
_atom_site_fract_z
Zn1 Zn 0.204 0.250 0.125
Ag1 Ag 0.000 0.000 0.500
F1 F 0.000 0.000 0.000


Ordering by calculated energy gives the sequence two), one), with the first entry being the most stable.


one) # ZrAg2F8 | the Alexandria database | GGA-PBE | optimized geometry
# Mass density ... 5145 kg/m³
data_ZrAg2F8
_cell_length_a 15.941
_cell_length_b 3.631
_cell_length_c 5.290
_cell_angle_alpha 90.00
_cell_angle_beta 104.60
_cell_angle_gamma 90.00
_space_group_name_H-M_alt 'C 1 2/m 1'
_space_group_IT_number 12
_space_group_name_Hall '-C 2y'
loop_
_atom_site_label
_atom_site_type_symbol
_atom_site_fract_x
_atom_site_fract_y
_atom_site_fract_z
Zr1 Zr 0.000 0.000 0.000
Ag1 Ag 0.166 0.500 0.609
F1 F 0.007 0.500 0.783
F2 F 0.092 0.000 0.397
F3 F 0.121 0.000 0.934
F4 F 0.248 0.500 0.300


two) # ZrAg2F8 | the Alexandria database | GGA-PBE | optimized geometry
# Mass density ... 4377 kg/m³
data_ZrAg2F8
_cell_length_a 6.9038
_cell_length_b 6.9038
_cell_length_c 4.2173
_cell_angle_alpha 90.00
_cell_angle_beta 90.00
_cell_angle_gamma 120.00
_space_group_name_H-M_alt 'P -3'
_space_group_IT_number 147
_space_group_name_Hall '-P 3'
loop_
_atom_site_label
_atom_site_type_symbol
_atom_site_fract_x
_atom_site_fract_y
_atom_site_fract_z
Zr1 Zr 0.0000 0.0000 0.0000
Ag1 Ag 0.3333 0.6667 0.7441
F1 F 0.1448 0.2912 0.7471
F2 F 0.3333 0.6667 0.2438


Ordering by calculated energy gives the sequence two), one), with the first entry being the most stable.


one) # Zr2AgF2 | the Alexandria database | GGA-PBE | optimized geometry
# Mass density ... 6912 kg/m³
data_Zr2AgF2
_cell_length_a 3.460
_cell_length_b 3.460
_cell_length_c 13.179
_cell_angle_alpha 90.00
_cell_angle_beta 90.00
_cell_angle_gamma 90.00
_space_group_name_H-M_alt 'I 4/m m m'
_space_group_IT_number 139
_space_group_name_Hall '-I 4 2'
loop_
_atom_site_label
_atom_site_type_symbol
_atom_site_fract_x
_atom_site_fract_y
_atom_site_fract_z
Zr1 Zr 0.000 0.000 0.127
Ag1 Ag 0.000 0.000 0.500
F1 F 0.000 0.500 0.250


two) # Zr2AgF2 | the Alexandria database | GGA-PBE | optimized geometry
# Mass density ... 6715 kg/m³
data_Zr2AgF2
_cell_length_a 7.757
_cell_length_b 7.757
_cell_length_c 2.698
_cell_angle_alpha 90.00
_cell_angle_beta 90.00
_cell_angle_gamma 90.00
_space_group_name_H-M_alt 'P 4/m b m'
_space_group_IT_number 127
_space_group_name_Hall '-P 4 2ab'
loop_
_atom_site_label
_atom_site_type_symbol
_atom_site_fract_x
_atom_site_fract_y
_atom_site_fract_z
Zr1 Zr 0.174 0.326 0.000
Ag1 Ag 0.000 0.000 0.000
F1 F 0.108 0.608 0.500


Ordering by calculated energy gives the sequence one), two), with the first entry being the most stable.


one) # ZrAg2F6 | the Alexandria database | GGA-PBE | optimized geometry
# Mass density ... 4275 kg/m³
data_ZrAg2F6
_cell_length_a 5.958
_cell_length_b 6.289
_cell_length_c 10.021
_cell_angle_alpha 90.00
_cell_angle_beta 119.42
_cell_angle_gamma 90.00
_space_group_name_H-M_alt 'P 1 21/c 1'
_space_group_IT_number 14
_space_group_name_Hall '-P 2ybc'
loop_
_atom_site_label
_atom_site_type_symbol
_atom_site_fract_x
_atom_site_fract_y
_atom_site_fract_z
Zr1 Zr 0.000 0.000 0.000
Ag1 Ag 0.307 0.066 0.760
F1 F 0.036 0.109 0.202
F2 F 0.250 0.745 0.613
F3 F 0.316 0.177 0.043


two) # ZrAg2F6 | the Alexandria database | GGA-PBE | optimized geometry
# Mass density ... 4375 kg/m³
data_ZrAg2F6
_cell_length_a 5.413
_cell_length_b 5.413
_cell_length_c 10.906
_cell_angle_alpha 90.00
_cell_angle_beta 90.00
_cell_angle_gamma 90.00
_space_group_name_H-M_alt 'P 42/m n m'
_space_group_IT_number 136
_space_group_name_Hall '-P 4n 2n'
loop_
_atom_site_label
_atom_site_type_symbol
_atom_site_fract_x
_atom_site_fract_y
_atom_site_fract_z
Zr1 Zr 0.000 0.000 0.000
Ag1 Ag 0.000 0.000 0.338
F1 F 0.184 0.184 0.137
F2 F 0.233 0.233 0.500


Ordering by calculated energy gives the sequence two), one), with the first entry being the most stable.


one) # Zr3AgF | the Alexandria database | GGA-PBE | optimized geometry
# Mass density ... 4703 kg/m³
data_Zr3AgF
_cell_length_a 5.210
_cell_length_b 5.210
_cell_length_c 5.210
_cell_angle_alpha 90.00
_cell_angle_beta 90.00
_cell_angle_gamma 90.00
_space_group_name_H-M_alt 'P m -3 m'
_space_group_IT_number 221
_space_group_name_Hall '-P 4 2 3'
loop_
_atom_site_label
_atom_site_type_symbol
_atom_site_fract_x
_atom_site_fract_y
_atom_site_fract_z
Zr1 Zr 0.000 0.000 0.500
Ag1 Ag 0.000 0.000 0.000
F1 F 0.500 0.500 0.500


two) # Zr3AgF | the Alexandria database | GGA-PBE | optimized geometry
# Mass density ... 7065 kg/m³
data_Zr3AgF
_cell_length_a 4.549
_cell_length_b 4.549
_cell_length_c 4.549
_cell_angle_alpha 90.00
_cell_angle_beta 90.00
_cell_angle_gamma 90.00
_space_group_name_H-M_alt 'P m -3 m'
_space_group_IT_number 221
_space_group_name_Hall '-P 4 2 3'
loop_
_atom_site_label
_atom_site_type_symbol
_atom_site_fract_x
_atom_site_fract_y
_atom_site_fract_z
Zr1 Zr 0.000 0.000 0.500
Ag1 Ag 0.500 0.500 0.500
F1 F 0.000 0.000 0.000


Ordering by calculated energy gives the sequence two), one), with the first entry being the most stable.


one) # Fe3Ag5 | the Alexandria database | GGA-PBE | optimized geometry
# Mass density ... 8809 kg/m³
data_Fe3Ag5
_cell_length_a 7.7364
_cell_length_b 7.7364
_cell_length_c 5.1419
_cell_angle_alpha 90.00
_cell_angle_beta 90.00
_cell_angle_gamma 120.00
_space_group_name_H-M_alt 'P 63/m c m'
_space_group_IT_number 193
_space_group_name_Hall '-P 6c 2'
loop_
_atom_site_label
_atom_site_type_symbol
_atom_site_fract_x
_atom_site_fract_y
_atom_site_fract_z
Fe1 Fe 0.0000 0.4264 0.2500
Ag1 Ag 0.0000 0.2227 0.7500
Ag2 Ag 0.3333 0.6667 0.0000


two) # Fe3Ag5 | the Alexandria database | GGA-PBE | optimized geometry
# Mass density ... 8792 kg/m³
data_Fe3Ag5
_cell_length_a 4.761
_cell_length_b 6.707
_cell_length_c 8.473
_cell_angle_alpha 81.03
_cell_angle_beta 87.57
_cell_angle_gamma 89.08
_space_group_name_H-M_alt 'P -1'
_space_group_IT_number 2
_space_group_name_Hall '-P 1'
loop_
_atom_site_label
_atom_site_type_symbol
_atom_site_fract_x
_atom_site_fract_y
_atom_site_fract_z
Fe1 Fe 0.097 0.181 0.023
Fe2 Fe 0.108 0.523 0.117
Fe3 Fe 0.380 0.867 0.471
Ag1 Ag 0.100 0.084 0.706
Ag2 Ag 0.137 0.259 0.381
Ag3 Ag 0.328 0.465 0.637
Ag4 Ag 0.403 0.728 0.843
Ag5 Ag 0.411 0.851 0.142


Ordering by calculated energy gives the sequence two), one), with the first entry being the most stable.